VASP calculation (GGA-PBE) on a relaxed Be4AlGa crystal.

* calculated total energy: -20.8 eV per formula unit
* crystal system: cubic
* E_form: 0.91 eV/f.u.

Cell lengths 4.494, 4.494, 4.494 Å; angles 60.00, 60.00, 60.00 degrees
Positions (direct):
Be: 0.626 0.626 0.121
Be: 0.626 0.121 0.626
Be: 0.626 0.626 0.626
Be: 0.121 0.626 0.626
Al: 0.000 0.000 0.000
Ga: 0.250 0.250 0.250

VASP calculation (GGA-PBE) on a relaxed YBePt3 crystal.

* calculated total energy: -32.0 eV per formula unit
* crystal system: orthorhombic
* energy above the most stable polymorph in this dataset: 0.220 eV per atom
* E_form: -3.68 eV/f.u.

Cell lengths 4.424, 5.788, 7.249 Å; angles 90.00, 107.81, 90.00 degrees
Positions (direct):
Y: 0.596 0.250 0.693
Y: 0.404 0.750 0.307
Be: 0.934 0.250 0.368
Be: 0.066 0.750 0.632
Pt: 0.809 0.006 0.118
Pt: 0.191 0.994 0.882
Pt: 0.809 0.494 0.118
Pt: 0.191 0.506 0.882
Pt: 0.384 0.250 0.267
Pt: 0.616 0.750 0.733

VASP calculation (GGA-PBE) on a relaxed Y5Mg4Ga crystal.

* calculated total energy: -43.8 eV per formula unit
* crystal system: tetragonal
* E_form: -2.11 eV/f.u.

Cell lengths 3.732, 3.732, 19.007 Å; angles 90.00, 90.00, 90.00 degrees
Positions (direct):
Y: 0.500 0.500 0.090
Y: 0.500 0.500 0.295
Y: 0.500 0.500 0.500
Y: 0.500 0.500 0.705
Y: 0.500 0.500 0.910
Mg: 0.000 0.000 0.194
Mg: 0.000 0.000 0.397
Mg: 0.000 0.000 0.603
Mg: 0.000 0.000 0.806
Ga: 0.000 0.000 0.000

VASP calculation (GGA-PBE) on a relaxed MgZn2Ir2 crystal.

* calculated total energy: -22.7 eV per formula unit
* crystal system: tetragonal
* energy above the most stable polymorph in this dataset: 0.000 eV per atom
* E_form: -0.86 eV/f.u.

Cell lengths 7.146, 7.146, 2.988 Å; angles 90.00, 90.00, 90.00 degrees
Positions (direct):
Zn: 0.372 0.872 0.000
Zn: 0.872 0.628 0.000
Zn: 0.628 0.128 0.000
Zn: 0.128 0.372 0.000
Ir: 0.169 0.669 0.500
Ir: 0.669 0.831 0.500
Ir: 0.831 0.331 0.500
Ir: 0.331 0.169 0.500
Mg: 0.000 0.000 0.000
Mg: 0.500 0.500 0.000

VASP calculation (GGA-PBE) on a relaxed Ho4ErPd15 crystal.

* calculated total energy: -118.7 eV per formula unit
* crystal system: tetragonal
* E_form: -17.90 eV/f.u.

Cell lengths 4.107, 4.107, 20.668 Å; angles 90.00, 90.00, 90.00 degrees
Positions (direct):
Ho: 0.000 0.000 0.200
Ho: 0.000 0.000 0.400
Ho: 0.000 0.000 0.600
Ho: 0.000 0.000 0.800
Er: 0.000 0.000 0.000
Pd: 0.500 0.500 0.000
Pd: 0.500 0.500 0.200
Pd: 0.500 0.500 0.400
Pd: 0.500 0.500 0.600
Pd: 0.500 0.500 0.800
Pd: 0.500 0.000 0.100
Pd: 0.500 0.000 0.300
Pd: 0.500 0.000 0.500
Pd: 0.500 0.000 0.700
Pd: 0.500 0.000 0.900
Pd: 0.000 0.500 0.100
Pd: 0.000 0.500 0.300
Pd: 0.000 0.500 0.500
Pd: 0.000 0.500 0.700
Pd: 0.000 0.500 0.900

VASP calculation (GGA-PBE) on a relaxed MnSbAs3 crystal.

* energy relative to the elements, uncorrected: 373 meV per atom
* calculated total energy: -25.4 eV per formula unit
* crystal system: cubic
* energy above the most stable polymorph in this dataset: 0.000 eV per atom

Cell lengths 4.662, 4.662, 4.662 Å; angles 90.00, 90.00, 90.00 degrees
Positions (direct):
Sb: 0.500 0.500 0.500
As: 0.000 0.500 0.000
As: 0.000 0.000 0.500
As: 0.500 0.000 0.000
Mn: 0.000 0.000 0.000

Question: The lowest calculated total energy belongs to which entry?
Answer: Ho4ErPd15

Question: calculated total energy of number 6 (MnSbAs3)?
Answer: -25.4 eV per formula unit